Computed, not measured: TcH2Pb2 at its PBEsol-relaxed geometry at the meta-GGA SCAN level of DFT.

Volume ... 74.1 Å³/cell
Spin magnetization ... 0.001 μB/atom
Total energy ... -190.649 eV/cell
Calculated density ... 11.53 g cm⁻³

Unit cell a=4.6751 b=4.6751 c=4.6751 alpha=86.92 beta=61.76 gamma=118.24
Closest atoms and distances in Å follow each position.
Positions (direct):
Pb1 0.5000 0.2500 0.2500  4 H 2.69, 4 Tc 2.89
Pb2 0.5000 0.7500 0.7500  4 H 2.69, 4 Tc 2.89
H1 0.0000 0.4389 0.5611  1 H 0.79
H2 0.0000 0.5611 0.4389  1 H 0.79
Tc1 0.0000 0.0000 0.0000  2 H 2.82, 8 Pb 2.89


Computed, not measured: CaZnCd2 at its PBEsol-relaxed geometry at the meta-GGA SCAN level of DFT.

Volume ... 83.4 Å³/cell
Spin magnetization ... 0.000 μB/atom
Total energy ... -84.982 eV/cell
ΔH_f (0 K) ... -0.244 eV per atom
Calculated density ... 6.57 g cm⁻³

Unit cell a=4.9055 b=4.9042 c=4.9055 alpha=59.99 beta=90.00 gamma=120.01
Closest atoms and distances in Å follow each position.
Positions (direct):
Zn1 0.7500 0.5000 0.7500  4 Ca 3.00, 4 Cd 3.00
Ca1 0.0000 0.0000 0.0000  4 Cd 3.00, 4 Zn 3.00
Cd1 0.2500 0.5000 0.2500  4 Cd 3.00, 4 Ca 3.00
Cd2 0.5000 0.0000 0.5000  4 Cd 3.00, 4 Zn 3.00


Computed, not measured: Y2ZrPt2 at its PBEsol-relaxed geometry at the meta-GGA SCAN level of DFT.

Volume ... 218.9 Å³/cell
Spin magnetization ... 0.000 μB/atom
Total energy ... -465.335 eV/cell
ΔH_f (0 K) ... -1.179 eV per atom
Calculated density ... 10.00 g cm⁻³

Unit cell a=4.4422 b=7.0191 c=7.0191 alpha=90.00 beta=90.00 gamma=90.00
Closest atoms and distances in Å follow each position.
Positions (direct):
Y1 0.5000 0.1694 0.6694  6 Pt 2.92-3.11
Y2 0.5000 0.6694 0.8306  6 Pt 2.92-3.11
Y3 0.5000 0.8306 0.3306  6 Pt 2.92-3.11
Y4 0.5000 0.3306 0.1694  6 Pt 2.92-3.11
Zr1 0.0000 0.0000 0.0000  4 Pt 2.72
Zr2 0.0000 0.5000 0.5000  4 Pt 2.72
Pt1 0.0000 0.3611 0.8611  2 Zr 2.72, 1 Pt 2.76, 2 Y 2.92
Pt2 0.0000 0.8611 0.6389  2 Zr 2.72, 1 Pt 2.76, 2 Y 2.92
Pt3 0.0000 0.6389 0.1389  2 Zr 2.72, 1 Pt 2.76, 2 Y 2.92
Pt4 0.0000 0.1389 0.3611  2 Zr 2.72, 1 Pt 2.76, 2 Y 2.92


Computed, not measured: V2CoP2O10 at its PBEsol-relaxed geometry at the meta-GGA SCAN level of DFT.

Volume ... 336.5 Å³/cell
Spin magnetization ... 0.333 μB/atom
Total energy ... -343.079 eV/cell
Formation energy without anion corrections ... -2.41 eV/atom
Calculated density ... 3.78 g cm⁻³

Unit cell a=7.3014 b=7.2643 c=7.2374 alpha=90.00 beta=90.00 gamma=118.77
Closest atoms and distances in Å follow each position.
Positions (direct):
V1 0.7934 0.5427 0.7744  1 O 1.66
V2 0.2934 0.0427 0.7256  1 O 1.66
V3 0.7066 0.9573 0.2744  1 O 1.66
V4 0.2066 0.4573 0.2256  1 O 1.66
Co1 0.0000 0.0000 0.0000  6 O 1.97-2.09
Co2 0.5000 0.5000 0.5000  6 O 1.97-2.09
P1 0.5029 0.2478 0.1211  4 O 1.52-1.56
P2 0.4971 0.7522 0.8789  4 O 1.52-1.56
P3 0.9971 0.2522 0.6211  4 O 1.52-1.56
P4 0.0029 0.7478 0.3789  4 O 1.52-1.56
O1 0.4881 0.2691 0.6506  1 V 1.66
O2 0.5831 0.1319 0.2443  1 P 1.52
O3 0.0119 0.2309 0.1506  1 V 1.66
O4 0.1773 0.9141 0.4965  1 P 1.52
O5 0.5897 0.6491 0.7475  1 P 1.55
O6 0.9169 0.3681 0.7443  1 P 1.52
O7 0.6802 0.9051 0.0054  1 P 1.56
O8 0.8227 0.0859 0.5035  1 P 1.52
O9 0.4169 0.8681 0.7557  1 P 1.52
O10 0.0897 0.1491 0.7525  1 P 1.55
O11 0.6773 0.4141 0.0035  1 P 1.52
O12 0.3198 0.0949 0.9946  1 P 1.56
O13 0.0831 0.6319 0.2557  1 P 1.52
O14 0.3227 0.5859 0.9965  1 P 1.52
O15 0.4103 0.3509 0.2525  1 P 1.55
O16 0.9103 0.8509 0.2475  1 P 1.55
O17 0.1802 0.4051 0.4946  1 P 1.56
O18 0.9881 0.7691 0.8494  1 V 1.66
O19 0.8198 0.5949 0.5054  1 P 1.56
O20 0.5119 0.7309 0.3494  1 V 1.66


Computed, not measured: YAlCu2S at its PBEsol-relaxed geometry at the meta-GGA SCAN level of DFT.

Volume ... 95.3 Å³/cell
Spin magnetization ... 0.000 μB/atom
Total energy ... -76.337 eV/cell
Formation energy without anion corrections ... -0.14 eV/atom
Calculated density ... 4.79 g cm⁻³

Unit cell a=4.3316 b=4.3316 c=5.0779 alpha=90.00 beta=90.00 gamma=90.00
Closest atoms and distances in Å follow each position.
Positions (direct):
Y1 0.0000 0.0000 0.5000  2 S 2.54
S1 0.0000 0.0000 0.0000  4 Cu 2.17
Al1 0.5000 0.5000 0.5000  4 Y 3.06, 8 Cu 3.34
Cu1 0.0000 0.5000 0.0000  2 S 2.17
Cu2 0.5000 0.0000 0.0000  2 S 2.17


Computed, not measured: Na2SI at its PBEsol-relaxed geometry at the meta-GGA SCAN level of DFT.

Volume ... 97.7 Å³/cell
Spin magnetization ... 0.243 μB/atom
Total energy ... -57.985 eV/cell
Formation energy without anion corrections ... -0.80 eV/atom
Calculated density ... 3.48 g cm⁻³

Unit cell a=5.1697 b=5.1697 c=5.1697 alpha=60.00 beta=60.00 gamma=60.00
Closest atoms and distances in Å follow each position.
Positions (direct):
I1 0.5000 0.5000 0.5000  8 Na 3.17
Na1 0.2500 0.2500 0.2500  4 S 3.17, 4 I 3.17
Na2 0.7500 0.7500 0.7500  4 I 3.17, 4 S 3.17
S1 0.0000 0.0000 0.0000  8 Na 3.17


Q: Among the records above, which one has the lowest volume?
A: TcH2Pb2


Q: Which of these has the lowest volume?
A: TcH2Pb2


Q: The lowest calculated density belongs to which entry?
A: Na2SI


Q: Which formula does entry 6 have?
A: Na2SI